(1)
# RbBi2Au4 PBE-GGA optimized geometry
data_RbBi2Au4
_chemical_formula_sum 'Rb4 Bi8 Au16'
_symmetry_space_group_name_H-M 'I 4/m c m'
_symmetry_Int_Tables_number 140
_symmetry_space_group_name_Hall '-I 4 2c'
_cell_length_a 9.361
_cell_length_b 9.361
_cell_length_c 8.722
_cell_angle_alpha 90.00
_cell_angle_beta 90.00
_cell_angle_gamma 90.00
loop_
_atom_site_label
_atom_site_type_symbol
_atom_site_fract_x
_atom_site_fract_y
_atom_site_fract_z
_atom_site_occupancy
Rb1 Rb 0.000 0.000 0.250 1
Bi1 Bi 0.134 0.366 0.000 1
Au1 Au 0.158 0.342 0.337 1
# - ΔH_f (0 K) (meV per atom) = -132
# - energy (eV/atom) = -3.2519
# - energy above the lowest structure with this stoichiometry (meV per atom) = 0
# - total magnetic moment (μB per formula unit) = 0.0

---

(2)
# Rb2Bi4Au3 PBE-GGA optimized geometry
data_Rb2Bi4Au3
_chemical_formula_sum 'Rb8 Bi16 Au12'
_symmetry_space_group_name_H-M 'F m m m'
_symmetry_Int_Tables_number 69
_symmetry_space_group_name_Hall '-F 2 2'
_cell_length_a 7.300
_cell_length_b 12.646
_cell_length_c 13.749
_cell_angle_alpha 90.00
_cell_angle_beta 90.00
_cell_angle_gamma 90.00
loop_
_atom_site_label
_atom_site_type_symbol
_atom_site_fract_x
_atom_site_fract_y
_atom_site_fract_z
_atom_site_occupancy
Rb1 Rb 0.000 0.000 0.134 1
Bi1 Bi 0.000 0.171 0.363 1
Au1 Au 0.000 0.000 0.500 1
Au2 Au 0.250 0.250 0.000 1
# - ΔH_f (0 K) (meV per atom) = -206
# - energy (eV/atom) = -3.2383
# - total magnetic moment (μB per formula unit) = 0.0

---

(3)
# RbBi2Au PBE-GGA optimized geometry
data_RbBi2Au
_chemical_formula_sum 'Rb4 Bi8 Au4'
_symmetry_space_group_name_H-M 'C m c m'
_symmetry_Int_Tables_number 63
_symmetry_space_group_name_Hall '-C 2c 2'
_cell_length_a 4.501
_cell_length_b 13.672
_cell_length_c 9.617
_cell_angle_alpha 90.00
_cell_angle_beta 90.00
_cell_angle_gamma 90.00
loop_
_atom_site_label
_atom_site_type_symbol
_atom_site_fract_x
_atom_site_fract_y
_atom_site_fract_z
_atom_site_occupancy
Rb1 Rb 0.000 0.056 0.250 1
Bi1 Bi 0.000 0.324 0.059 1
Au1 Au 0.000 0.211 0.750 1
# - ΔH_f (0 K) (meV per atom) = -191
# - energy (eV/atom) = -3.1929
# - energy above the lowest structure with this stoichiometry (meV per atom) = 52
# - total magnetic moment (μB per formula unit) = 0.0

---

(4)
# Rb2Bi5Au3 PBE-GGA optimized geometry
data_Rb2Bi5Au3
_chemical_formula_sum 'Rb8 Bi20 Au12'
_symmetry_space_group_name_H-M 'I b a m'
_symmetry_Int_Tables_number 72
_symmetry_space_group_name_Hall '-I 2 2c'
_cell_length_a 11.845
_cell_length_b 14.585
_cell_length_c 7.483
_cell_angle_alpha 90.00
_cell_angle_beta 90.00
_cell_angle_gamma 90.00
loop_
_atom_site_label
_atom_site_type_symbol
_atom_site_fract_x
_atom_site_fract_y
_atom_site_fract_z
_atom_site_occupancy
Rb1 Rb 0.248 0.131 0.000 1
Bi1 Bi 0.000 0.000 0.250 1
Bi2 Bi 0.000 0.255 0.250 1
Bi3 Bi 0.141 0.395 0.000 1
Au1 Au 0.000 0.500 0.250 1
Au2 Au 0.113 0.126 0.500 1
# - ΔH_f (0 K) (meV per atom) = -202
# - energy (eV/atom) = -3.3187
# - total magnetic moment (μB per formula unit) = 0.0

---

(5)
# Rb3Bi2Au4 PBE-GGA optimized geometry
data_Rb3Bi2Au4
_chemical_formula_sum 'Rb6 Bi4 Au8'
_symmetry_space_group_name_H-M 'C 1 2/m 1'
_symmetry_Int_Tables_number 12
_cell_length_a 12.962
_cell_length_b 5.140
_cell_length_c 9.618
_cell_angle_alpha 90.00
_cell_angle_beta 105.79
_cell_angle_gamma 90.00
loop_
_symmetry_equiv_pos_as_xyz
'x,y,z'
'-x,-y,-z'
'-x,y,-z'
'x,-y,z'
'x+1/2,y+1/2,z'
'-x+1/2,-y+1/2,-z'
'-x+1/2,y+1/2,-z'
'x+1/2,-y+1/2,z'
loop_
_atom_site_label
_atom_site_type_symbol
_atom_site_fract_x
_atom_site_fract_y
_atom_site_fract_z
_atom_site_occupancy
Rb1 Rb 0.000 0.000 0.000 1
Rb2 Rb 0.133 0.500 0.375 1
Bi1 Bi 0.167 0.500 0.777 1
Au1 Au 0.075 0.000 0.631 1
Au2 Au 0.240 0.000 0.916 1
# - ΔH_f (0 K) (meV per atom) = -301
# - energy (eV/atom) = -2.9429
# - total magnetic moment (μB per formula unit) = 0.0

---

(6)
# RbBiAu10 PBE-GGA optimized geometry
data_RbBiAu10
_chemical_formula_sum 'Rb1 Bi1 Au10'
_symmetry_space_group_name_H-M 'P m m m'
_symmetry_Int_Tables_number 47
_cell_length_a 4.614
_cell_length_b 5.747
_cell_length_c 10.015
_cell_angle_alpha 90.00
_cell_angle_beta 90.00
_cell_angle_gamma 90.00
loop_
_symmetry_equiv_pos_as_xyz
'x,y,z'
'-x,-y,-z'
'-x,-y,z'
'x,y,-z'
'x,-y,-z'
'-x,y,z'
'-x,y,-z'
'x,-y,z'
loop_
_atom_site_label
_atom_site_type_symbol
_atom_site_fract_x
_atom_site_fract_y
_atom_site_fract_z
_atom_site_occupancy
Rb1 Rb 0.000 0.000 0.000 1
Bi1 Bi 0.000 0.500 0.500 1
Au1 Au 0.000 0.000 0.342 1
Au2 Au 0.000 0.500 0.179 1
Au3 Au 0.500 0.000 0.500 1
Au4 Au 0.500 0.252 0.255 1
Au5 Au 0.500 0.500 0.000 1
# - ΔH_f (0 K) (meV per atom) = -58
# - energy (eV/atom) = -3.1931
# - total magnetic moment (μB per formula unit) = 0.0

---

(7)
# Rb2Bi2Au PBE-GGA optimized geometry
data_Rb2Bi2Au
_chemical_formula_sum 'Rb8 Bi8 Au4'
_symmetry_space_group_name_H-M 'C 1 2/m 1'
_symmetry_Int_Tables_number 12
_cell_length_a 12.684
_cell_length_b 5.307
_cell_length_c 12.516
_cell_angle_alpha 90.00
_cell_angle_beta 117.44
_cell_angle_gamma 90.00
loop_
_symmetry_equiv_pos_as_xyz
'x,y,z'
'-x,-y,-z'
'-x,y,-z'
'x,-y,z'
'x+1/2,y+1/2,z'
'-x+1/2,-y+1/2,-z'
'-x+1/2,y+1/2,-z'
'x+1/2,-y+1/2,z'
loop_
_atom_site_label
_atom_site_type_symbol
_atom_site_fract_x
_atom_site_fract_y
_atom_site_fract_z
_atom_site_occupancy
Rb1 Rb 0.084 0.000 0.381 1
Rb2 Rb 0.176 0.500 0.185 1
Bi1 Bi 0.107 0.000 0.960 1
Bi2 Bi 0.117 0.500 0.615 1
Au1 Au 0.129 0.500 0.853 1
# - ΔH_f (0 K) (meV per atom) = -274
# - energy (eV/atom) = -2.8686
# - total magnetic moment (μB per formula unit) = 0.0

---

(8)
# RbBiAu2 PBE-GGA optimized geometry
data_RbBiAu2
_chemical_formula_sum 'Rb4 Bi4 Au8'
_symmetry_space_group_name_H-M 'C m c m'
_symmetry_Int_Tables_number 63
_symmetry_space_group_name_Hall '-C 2c 2'
_cell_length_a 4.951
_cell_length_b 13.685
_cell_length_c 7.997
_cell_angle_alpha 90.00
_cell_angle_beta 90.00
_cell_angle_gamma 90.00
loop_
_atom_site_label
_atom_site_type_symbol
_atom_site_fract_x
_atom_site_fract_y
_atom_site_fract_z
_atom_site_occupancy
Rb1 Rb 0.000 0.061 0.250 1
Bi1 Bi 0.000 0.344 0.250 1
Au1 Au 0.000 0.233 0.572 1
# - ΔH_f (0 K) (meV per atom) = -248
# - energy (eV/atom) = -3.0991
# - total magnetic moment (μB per formula unit) = 0.0

---

(9)
# Rb5Bi2Au PBE-GGA optimized geometry
data_Rb5Bi2Au
_chemical_formula_sum 'Rb15 Bi6 Au3'
_symmetry_space_group_name_H-M 'R -3 m'
_symmetry_Int_Tables_number 166
_symmetry_space_group_name_Hall '-R 3 2"'
_cell_length_a 6.3625
_cell_length_b 6.3625
_cell_length_c 30.5778
_cell_angle_alpha 90.00
_cell_angle_beta 90.00
_cell_angle_gamma 120.00
loop_
_atom_site_label
_atom_site_type_symbol
_atom_site_fract_x
_atom_site_fract_y
_atom_site_fract_z
_atom_site_occupancy
Rb1 Rb 0.0000 0.0000 0.0000 1
Rb2 Rb 0.0000 0.0000 0.1343 1
Rb3 Rb 0.0000 0.0000 0.2824 1
Bi1 Bi 0.0000 0.0000 0.4091 1
Au1 Au 0.0000 0.0000 0.5000 1
# - ΔH_f (0 K) (meV per atom) = -385
# - energy (eV/atom) = -2.3701
# - total magnetic moment (μB per formula unit) = 0.0

---

(10)
# RbBi2Au PBE-GGA optimized geometry
data_RbBi2Au
_chemical_formula_sum 'Rb4 Bi8 Au4'
_symmetry_space_group_name_H-M 'F m -3 m'
_symmetry_Int_Tables_number 225
_symmetry_space_group_name_Hall '-F 4 2 3'
_cell_length_a 7.806
_cell_length_b 7.806
_cell_length_c 7.806
_cell_angle_alpha 90.00
_cell_angle_beta 90.00
_cell_angle_gamma 90.00
loop_
_atom_site_label
_atom_site_type_symbol
_atom_site_fract_x
_atom_site_fract_y
_atom_site_fract_z
_atom_site_occupancy
Rb1 Rb 0.000 0.000 0.000 1
Bi1 Bi 0.250 0.250 0.250 1
Au1 Au 0.000 0.000 0.500 1
# - ΔH_f (0 K) (meV per atom) = 159
# - energy (eV/atom) = -2.8430
# - energy above the lowest structure with this stoichiometry (meV per atom) = 402
# - total magnetic moment (μB per formula unit) = 0.0

---

(11)
# Rb3BiAu6 PBE-GGA optimized geometry
data_Rb3BiAu6
_chemical_formula_sum 'Rb6 Bi2 Au12'
_symmetry_space_group_name_H-M 'C 1 2/m 1'
_symmetry_Int_Tables_number 12
_cell_length_a 12.211
_cell_length_b 6.802
_cell_length_c 7.253
_cell_angle_alpha 90.00
_cell_angle_beta 110.48
_cell_angle_gamma 90.00
loop_
_symmetry_equiv_pos_as_xyz
'x,y,z'
'-x,-y,-z'
'-x,y,-z'
'x,-y,z'
'x+1/2,y+1/2,z'
'-x+1/2,-y+1/2,-z'
'-x+1/2,y+1/2,-z'
'x+1/2,-y+1/2,z'
loop_
_atom_site_label
_atom_site_type_symbol
_atom_site_fract_x
_atom_site_fract_y
_atom_site_fract_z
_atom_site_occupancy
Rb1 Rb 0.000 0.000 0.000 1
Rb2 Rb 0.010 0.500 0.257 1
Bi1 Bi 0.000 0.000 0.500 1
Au1 Au 0.222 0.000 0.429 1
Au2 Au 0.228 0.206 0.801 1
# - ΔH_f (0 K) (meV per atom) = -102
# - energy (eV/atom) = -2.7472
# - total magnetic moment (μB per formula unit) = 0.0

---

(12)
# Rb12Bi3Au5 PBE-GGA optimized geometry
data_Rb12Bi3Au5
_chemical_formula_sum 'Rb96 Bi24 Au40'
_symmetry_space_group_name_H-M 'I a -3 d'
_symmetry_Int_Tables_number 230
_symmetry_space_group_name_Hall '-I 4bd 2c 3'
_cell_length_a 20.991
_cell_length_b 20.991
_cell_length_c 20.991
_cell_angle_alpha 90.00
_cell_angle_beta 90.00
_cell_angle_gamma 90.00
loop_
_atom_site_label
_atom_site_type_symbol
_atom_site_fract_x
_atom_site_fract_y
_atom_site_fract_z
_atom_site_occupancy
Rb1 Rb 0.019 0.068 0.654 1
Bi1 Bi 0.000 0.250 0.125 1
Au1 Au 0.000 0.000 0.000 1
Au2 Au 0.000 0.250 0.375 1
# - ΔH_f (0 K) (meV per atom) = -210
# - energy (eV/atom) = -2.1925
# - total magnetic moment (μB per formula unit) = 2.2

---

(13)
# RbBiAu2 PBE-GGA optimized geometry
data_RbBiAu2
_chemical_formula_sum 'Rb4 Bi4 Au8'
_symmetry_space_group_name_H-M 'P n m a'
_symmetry_Int_Tables_number 62
_cell_length_a 9.626
_cell_length_b 7.175
_cell_length_c 7.116
_cell_angle_alpha 90.00
_cell_angle_beta 90.00
_cell_angle_gamma 90.00
loop_
_symmetry_equiv_pos_as_xyz
'x,y,z'
'-x,-y,-z'
'-x+1/2,-y,z+1/2'
'x+1/2,y,-z+1/2'
'x+1/2,-y+1/2,-z+1/2'
'-x+1/2,y+1/2,z+1/2'
'-x,y+1/2,-z'
'x,-y+1/2,z'
loop_
_atom_site_label
_atom_site_type_symbol
_atom_site_fract_x
_atom_site_fract_y
_atom_site_fract_z
_atom_site_occupancy
Rb1 Rb 0.019 0.250 0.149 1
Bi1 Bi 0.122 0.750 0.358 1
Au1 Au 0.194 0.057 0.579 1
# - ΔH_f (0 K) (meV per atom) = -241
# - energy (eV/atom) = -3.0922
# - total magnetic moment (μB per formula unit) = 0.0

---

(14)
# RbBi3Au PBE-GGA optimized geometry
data_RbBi3Au
_chemical_formula_sum 'Rb1 Bi3 Au1'
_symmetry_space_group_name_H-M 'P m -3 m'
_symmetry_Int_Tables_number 221
_symmetry_space_group_name_Hall '-P 4 2 3'
_cell_length_a 5.736
_cell_length_b 5.736
_cell_length_c 5.736
_cell_angle_alpha 90.00
_cell_angle_beta 90.00
_cell_angle_gamma 90.00
loop_
_atom_site_label
_atom_site_type_symbol
_atom_site_fract_x
_atom_site_fract_y
_atom_site_fract_z
_atom_site_occupancy
Rb1 Rb 0.000 0.000 0.000 1
Bi1 Bi 0.000 0.500 0.500 1
Au1 Au 0.500 0.500 0.500 1
# - ΔH_f (0 K) (meV per atom) = 108
# - energy (eV/atom) = -3.0695
# - energy above the lowest structure with this stoichiometry (meV per atom) = 274
# - total magnetic moment (μB per formula unit) = 0.0

---

(15)
# RbBi3Au PBE-GGA optimized geometry
data_RbBi3Au
_chemical_formula_sum 'Rb2 Bi6 Au2'
_symmetry_space_group_name_H-M 'I 4 m m'
_symmetry_Int_Tables_number 107
_symmetry_space_group_name_Hall 'I 4 -2'
_cell_length_a 5.143
_cell_length_b 5.143
_cell_length_c 13.035
_cell_angle_alpha 90.00
_cell_angle_beta 90.00
_cell_angle_gamma 90.00
loop_
_atom_site_label
_atom_site_type_symbol
_atom_site_fract_x
_atom_site_fract_y
_atom_site_fract_z
_atom_site_occupancy
Rb1 Rb 0.000 0.000 0.000 1
Bi1 Bi 0.000 0.000 0.598 1
Bi2 Bi 0.000 0.500 0.260 1
Au1 Au 0.000 0.000 0.378 1
# - ΔH_f (0 K) (meV per atom) = -166
# - energy (eV/atom) = -3.3431
# - energy above the lowest structure with this stoichiometry (meV per atom) = 0
# - total magnetic moment (μB per formula unit) = 0.0

---

(16)
# Rb2Bi2Au PBE-GGA optimized geometry
data_Rb2Bi2Au
_chemical_formula_sum 'Rb4 Bi4 Au2'
_symmetry_space_group_name_H-M 'I 4/m m m'
_symmetry_Int_Tables_number 139
_symmetry_space_group_name_Hall '-I 4 2'
_cell_length_a 7.450
_cell_length_b 7.450
_cell_length_c 8.494
_cell_angle_alpha 90.00
_cell_angle_beta 90.00
_cell_angle_gamma 90.00
loop_
_atom_site_label
_atom_site_type_symbol
_atom_site_fract_x
_atom_site_fract_y
_atom_site_fract_z
_atom_site_occupancy
Rb1 Rb 0.000 0.500 0.250 1
Bi1 Bi 0.000 0.000 0.177 1
Au1 Au 0.000 0.000 0.500 1
# - ΔH_f (0 K) (meV per atom) = -52
# - energy (eV/atom) = -2.6467
# - total magnetic moment (μB per formula unit) = 0.0

---

(17)
# RbBi2Au PBE-GGA optimized geometry
data_RbBi2Au
_chemical_formula_sum 'Rb1 Bi2 Au1'
_symmetry_space_group_name_H-M 'P 1 2/m 1'
_symmetry_Int_Tables_number 10
_cell_length_a 5.377
_cell_length_b 4.519
_cell_length_c 6.610
_cell_angle_alpha 90.00
_cell_angle_beta 110.51
_cell_angle_gamma 90.00
loop_
_symmetry_equiv_pos_as_xyz
'x,y,z'
'-x,-y,-z'
'-x,y,-z'
'x,-y,z'
loop_
_atom_site_label
_atom_site_type_symbol
_atom_site_fract_x
_atom_site_fract_y
_atom_site_fract_z
_atom_site_occupancy
Rb1 Rb 0.000 0.000 0.000 1
Bi1 Bi 0.294 0.500 0.653 1
Au1 Au 0.500 0.000 0.500 1
# - ΔH_f (0 K) (meV per atom) = -243
# - energy (eV/atom) = -3.2452
# - energy above the lowest structure with this stoichiometry (meV per atom) = 0
# - total magnetic moment (μB per formula unit) = 0.0

---

(18)
# Rb3Bi4Au2 PBE-GGA optimized geometry
data_Rb3Bi4Au2
_chemical_formula_sum 'Rb3 Bi4 Au2'
_symmetry_space_group_name_H-M 'P -1'
_symmetry_Int_Tables_number 2
_cell_length_a 4.806
_cell_length_b 7.418
_cell_length_c 10.641
_cell_angle_alpha 99.95
_cell_angle_beta 90.59
_cell_angle_gamma 108.69
loop_
_symmetry_equiv_pos_as_xyz
'x,y,z'
'-x,-y,-z'
loop_
_atom_site_label
_atom_site_type_symbol
_atom_site_fract_x
_atom_site_fract_y
_atom_site_fract_z
_atom_site_occupancy
Rb1 Rb 0.000 0.000 0.000 1
Rb2 Rb 0.369 0.729 0.606 1
Bi1 Bi 0.075 0.154 0.656 1
Bi2 Bi 0.262 0.529 0.908 1
Au1 Au 0.352 0.703 0.214 1
# - ΔH_f (0 K) (meV per atom) = -256
# - energy (eV/atom) = -3.0315
# - total magnetic moment (μB per formula unit) = 0.0

---

(19)
# Rb2Bi2Au PBE-GGA optimized geometry
data_Rb2Bi2Au
_chemical_formula_sum 'Rb4 Bi4 Au2'
_symmetry_space_group_name_H-M 'P 4/m b m'
_symmetry_Int_Tables_number 127
_symmetry_space_group_name_Hall '-P 4 2ab'
_cell_length_a 7.717
_cell_length_b 7.717
_cell_length_c 6.190
_cell_angle_alpha 90.00
_cell_angle_beta 90.00
_cell_angle_gamma 90.00
loop_
_atom_site_label
_atom_site_type_symbol
_atom_site_fract_x
_atom_site_fract_y
_atom_site_fract_z
_atom_site_occupancy
Rb1 Rb 0.168 0.332 0.000 1
Bi1 Bi 0.147 0.647 0.500 1
Au1 Au 0.000 0.000 0.500 1
# - ΔH_f (0 K) (meV per atom) = -259
# - energy (eV/atom) = -2.8541
# - total magnetic moment (μB per formula unit) = 0.0

---

(20)
# RbBi2Au PBE-GGA optimized geometry
data_RbBi2Au
_chemical_formula_sum 'Rb3 Bi6 Au3'
_symmetry_space_group_name_H-M 'R -3 m'
_symmetry_Int_Tables_number 166
_symmetry_space_group_name_Hall '-R 3 2"'
_cell_length_a 4.6085
_cell_length_b 4.6085
_cell_length_c 24.1261
_cell_angle_alpha 90.00
_cell_angle_beta 90.00
_cell_angle_gamma 120.00
loop_
_atom_site_label
_atom_site_type_symbol
_atom_site_fract_x
_atom_site_fract_y
_atom_site_fract_z
_atom_site_occupancy
Rb1 Rb 0.0000 0.0000 0.0000 1
Bi1 Bi 0.0000 0.0000 0.2161 1
Au1 Au 0.0000 0.0000 0.5000 1
# - ΔH_f (0 K) (meV per atom) = -126
# - energy (eV/atom) = -3.1273
# - energy above the lowest structure with this stoichiometry (meV per atom) = 118
# - total magnetic moment (μB per formula unit) = 0.0